TbSm2Ho6 | PBE | optimized geometry

Results
Total moment = 0.0 μB/f.u.
Energy relative to the elements = 383 meV per atom
Uncorrected energy = -38.088 eV per cell
Space group = R3m

a b c (Å): 8.5891 8.5891 8.5891
angles (deg): 47.71 47.71 47.71
Element x y z (fractional)
Tb 0.0000 0.0000 0.0000
Sm 0.5895 0.5895 0.5895
Sm 0.7516 0.7516 0.7516
Ho 0.0538 0.0538 0.5633
Ho 0.0538 0.5633 0.0538
Ho 0.2803 0.2803 0.7714
Ho 0.2803 0.7714 0.2803
Ho 0.5633 0.0538 0.0538
Ho 0.7714 0.2803 0.2803

=====

K2Pu2MgSe6 | PBE | optimized geometry

Results
Uncorrected formation energy = -14.13 eV per formula unit
Total moment = 8.0 μB/f.u.
Uncorrected energy = -67.494 eV per cell
Space group = C2/m

a b c (Å): 7.1256 7.1256 8.1569
angles (deg): 98.22 98.22 120.15
Element x y z (fractional)
K 0.1653 0.8347 0.0000
K 0.8347 0.1653 0.0000
Pu 0.3337 0.6663 0.5000
Pu 0.6663 0.3337 0.5000
Mg 0.0000 0.0000 0.5000
Se 0.0636 0.3981 0.6958
Se 0.2662 0.2662 0.3057
Se 0.3981 0.0636 0.6958
Se 0.6019 0.9364 0.3042
Se 0.7338 0.7338 0.6943
Se 0.9364 0.6019 0.3042

=====

TmTiAgRh | PBE | optimized geometry

Results
Total moment = 0.4 μB/f.u.
Energy relative to the elements = -356 meV per atom
Uncorrected energy = -23.991 eV per cell
Space group = F-43m

a b c (Å): 4.7206 4.7206 4.7206
angles (deg): 60.00 60.00 60.00
Element x y z (fractional)
Tm 0.0000 0.0000 0.0000
Ti 0.5000 0.5000 0.5000
Ag 0.7500 0.7500 0.7500
Rh 0.2500 0.2500 0.2500

=====

SrAs2H | PBE | optimized geometry

Results
Total moment = 0.0 μB/f.u.
Uncorrected energy = -29.157 eV per cell
Space group = I-42d

a b c (Å): 6.9431 6.9431 6.9431
angles (deg): 133.48 133.48 67.90
Element x y z (fractional)
Sr 0.0000 0.0000 0.0000
Sr 0.7500 0.2500 0.5000
As 0.3739 0.6250 0.2489
As 0.3750 0.6239 0.7489
As 0.3761 0.1250 0.7511
As 0.8750 0.6261 0.2511
H 0.2500 0.7500 0.5000
H 0.5000 0.5000 0.0000